Entry 1:
Density functional theory data (GGA-PBE) for a relaxed structure of LaTmCd.

```
LaTmCd
1.0
5.2519 0.0000 0.0000
2.6259 4.5423 0.2867
2.6259 1.2433 4.3782
La Tm Cd
1 1 1
Direct
0.7501 0.7499 0.7499
0.2500 0.2500 0.2500
0.0000 0.0000 0.0000
```

## Properties
offset from the most stable computed form	293	meV per atom
electronic total energy	-10.06	eV/cell
energy of formation from the pure elements	0.084	eV per atom

***

Entry 2:
Density functional theory data (GGA-PBE) for a relaxed structure of LiNpAlRe.

```
LiNpAlRe
1.0
-4.1916 -1.1024 -1.4855
-2.2367 -3.5348 1.8690
-3.6473 0.7501 2.6694
Np Re Al Li
1 1 1 1
Direct
0.7500 0.7500 0.7500
0.5000 0.5000 0.5000
0.2500 0.2500 0.2500
0.0000 0.0000 0.0000
```

## Properties
electronic total energy	-30.24	eV/cell
energy of formation from the pure elements	0.201	eV per atom

***

Entry 3:
Density functional theory data (GGA-PBE) for a relaxed structure of TaZn2In.

```
TaZn2In
1.0
-5.3428 -7.2228 2.8925
-3.6131 -8.6730 0.8981
-2.6397 -8.2633 3.7189
In Ta Zn
1 1 2
Direct
0.5022 0.5022 0.5022
0.7446 0.7446 0.7446
0.9970 0.9970 0.9970
0.2562 0.2562 0.2562
```

## Properties
electronic total energy	-16.29	eV/cell
energy of formation from the pure elements	0.213	eV per atom

***

> What is the electronic total energy in the third record?

-16.29 eV/cell

***

> Look up the energy of formation from the pure elements of the first one.

0.084 eV per atom